The following is a PBE-GGA calculation of an optimized crystal structure of Si2OsPt, from the Alexandria database.

Lattice parameters (Å, degrees): 5.011 5.011 5.011 137.96 137.96 60.96
Fractional coordinates of all 4 atoms:
1 Si 0.000 0.000 0.000
2 Si 0.250 0.750 0.500
3 Pt 0.750 0.250 0.500
4 Os 0.500 0.500 0.000

Summary:
Its raw formation energy is -0.055 eV per atom. The calculation puts the volume at 55.8 Å³ per cell.


The following is a PBE-GGA calculation of an optimized crystal structure of SrPaCdO5, from the Alexandria database.

Lattice parameters (Å, degrees): 6.396 6.396 8.450 107.75 107.75 105.34
Fractional coordinates of all 16 atoms:
1 O 0.876 0.290 0.070
2 O 0.056 0.944 0.250
3 O 0.279 0.328 0.621
4 O 0.672 0.721 0.879
5 O 0.721 0.672 0.379
6 O 0.328 0.279 0.121
7 O 0.710 0.124 0.430
8 O 0.124 0.710 0.930
9 O 0.944 0.056 0.750
10 O 0.290 0.876 0.570
11 Cd 0.305 0.695 0.750
12 Cd 0.695 0.305 0.250
13 Pa 0.000 0.000 0.000
14 Pa 0.000 0.000 0.500
15 Sr 0.689 0.311 0.750
16 Sr 0.311 0.689 0.250

Summary:
Its raw formation energy is -2.484 eV per atom. The calculation puts the volume at 288.2 Å³ per cell.


The following is a PBE-GGA calculation of an optimized crystal structure of TbPd12, from the Alexandria database.

Lattice parameters (Å, degrees): 5.266 6.953 6.953 81.75 67.75 67.75
Fractional coordinates of all 13 atoms:
1 Pd 0.500 0.500 0.000
2 Pd 0.000 0.000 0.500
3 Pd 0.000 0.650 0.350
4 Pd 0.500 0.000 0.500
5 Pd 0.650 0.350 0.350
6 Pd 0.500 0.216 0.784
7 Pd 0.500 0.784 0.216
8 Pd 0.350 0.650 0.650
9 Pd 0.000 0.500 0.000
10 Pd 0.284 0.216 0.216
11 Pd 0.716 0.784 0.784
12 Pd 0.000 0.350 0.650
13 Tb 0.000 0.000 0.000

Summary:
The calculation puts the volume at 218.1 Å³ per cell. As for the energy: -5.353 eV per atom.


The following is a PBE-GGA calculation of an optimized crystal structure of SrTaPb2, from the Alexandria database.

Lattice parameters (Å, degrees): 5.499 5.499 5.499 60.00 60.00 60.00
Each line ends with the local moment (μB).
Fractional coordinates of all 4 atoms:
1 Sr 0.500 0.500 0.500  0.14
2 Pb 0.250 0.250 0.250  -0.01
3 Pb 0.000 0.000 0.000  -0.02
4 Ta 0.750 0.750 0.750  1.90

Summary:
The calculation puts the volume at 117.6 Å³ per cell. As for the energy: -4.511 eV per atom.